Compound: Zr2CuCl
Source: the Alexandria database
Functional: PBE
Structure: optimized geometry

The structure in extended XYZ format:
```
4
Lattice="3.139 0.000 0.000 0.000 3.241 0.000 0.000 0.000 7.792" Properties=species:S:1:pos:R:3 pbc="T T T"
Zr 0.000 0.000 1.661
Zr 0.000 0.000 6.131
Cu 1.570 1.620 0.000
Cl 1.570 0.000 3.896
```

The uncorrected formation energy comes out at -0.39 eV/atom. The value obtained for the total energy is -6.151 eV per atom. As for the density of states at the Fermi level: 4.80 states/eV/cell.